No. 1
HfTa4Mn5 | PBE | optimized geometry

Output
For the energy of formation from the pure elements, the calculation gives -232 meV/atom. For the total energy, the calculation gives -10.55 eV/atom. The calculation puts the density at 13.39 g/cm3.

Cell and atoms, written as CIF:
```
data_HfTa4Mn5
_space_group_name_H-M_alt 'P 4/m m m'
_space_group_IT_number 123
_space_group_name_Hall '-P 4 2'
_cell_length_a 3.076
_cell_length_b 3.076
_cell_length_c 15.428
_cell_angle_alpha 90.00
_cell_angle_beta 90.00
_cell_angle_gamma 90.00
loop_
_atom_site_label
_atom_site_fract_x
_atom_site_fract_y
_atom_site_fract_z
Hf1 0.000 0.000 0.000
Ta1 0.000 0.000 0.202
Ta2 0.000 0.000 0.401
Mn1 0.500 0.500 0.107
Mn2 0.500 0.500 0.303
Mn3 0.500 0.500 0.500
```



No. 2
LiDy2Lu | PBE | optimized geometry

Output
For the energy of formation from the pure elements, the calculation gives 75 meV/atom. For the total energy, the calculation gives -3.84 eV/atom. The calculation puts the density at 7.53 g/cm3. As for the energy above the most stable polymorph in this dataset: 0.0 meV per atom.

Cell and atoms, written as CIF:
```
data_LiDy2Lu
_space_group_name_H-M_alt 'P 4/m m m'
_space_group_IT_number 123
_space_group_name_Hall '-P 4 2'
_cell_length_a 3.570
_cell_length_b 3.570
_cell_length_c 8.768
_cell_angle_alpha 90.00
_cell_angle_beta 90.00
_cell_angle_gamma 90.00
loop_
_atom_site_label
_atom_site_fract_x
_atom_site_fract_y
_atom_site_fract_z
Li1 0.000 0.000 0.000
Dy1 0.500 0.500 0.228
Lu1 0.000 0.000 0.500
```



No. 3
Ta4Nb2Rh | PBE | optimized geometry

Output
For the energy of formation from the pure elements, the calculation gives 1178 meV/atom. For the total energy, the calculation gives -9.52 eV/atom. The calculation puts the density at 11.04 g/cm3. As for the energy above the most stable polymorph in this dataset: 1192.1 meV per atom.

Cell and atoms, written as CIF:
```
data_Ta4Nb2Rh
_space_group_name_H-M_alt 'I 4/m m m'
_space_group_IT_number 139
_space_group_name_Hall '-I 4 2'
_cell_length_a 4.761
_cell_length_b 4.761
_cell_length_c 13.436
_cell_angle_alpha 90.00
_cell_angle_beta 90.00
_cell_angle_gamma 90.00
loop_
_atom_site_label
_atom_site_fract_x
_atom_site_fract_y
_atom_site_fract_z
Ta1 0.000 0.000 0.190
Ta2 0.000 0.500 0.000
Nb1 0.000 0.000 0.383
Rh1 0.000 0.000 0.000
```



No. 4
V2SbSI | PBE | optimized geometry

Output
For the total energy, the calculation gives -4.75 eV/atom. The calculation puts the density at 4.44 g/cm3. The value obtained for the uncorrected formation energy is 858 meV/atom.

Cell and atoms, written as CIF:
```
data_V2SbSI
_space_group_name_H-M_alt 'P 4/m m m'
_space_group_IT_number 123
_space_group_name_Hall '-P 4 2'
_cell_length_a 5.354
_cell_length_b 5.354
_cell_length_c 4.989
_cell_angle_alpha 90.00
_cell_angle_beta 90.00
_cell_angle_gamma 90.00
loop_
_atom_site_label
_atom_site_fract_x
_atom_site_fract_y
_atom_site_fract_z
V1 0.000 0.500 0.000
Sb1 0.000 0.000 0.000
S1 0.000 0.000 0.500
I1 0.500 0.500 0.500
```



No. 5
TbPr5Sb5 | PBE | optimized geometry

Output
For the total energy, the calculation gives -5.47 eV/atom. The calculation puts the density at 6.36 g/cm3. The value obtained for the uncorrected formation energy is -1000 meV/atom.

Cell and atoms, written as CIF:
```
data_TbPr5Sb5
_space_group_name_H-M_alt 'C 1 2/m 1'
_space_group_IT_number 12
_cell_length_a 14.202
_cell_length_b 6.364
_cell_length_c 8.977
_cell_angle_alpha 90.00
_cell_angle_beta 108.63
_cell_angle_gamma 90.00
loop_
_space_group_symop_operation_xyz
'x,y,z'
'-x,-y,-z'
'-x,y,-z'
'x,-y,z'
'x+1/2,y+1/2,z'
'-x+1/2,-y+1/2,-z'
'-x+1/2,y+1/2,-z'
'x+1/2,-y+1/2,z'
loop_
_atom_site_label
_atom_site_fract_x
_atom_site_fract_y
_atom_site_fract_z
Tb1 0.000 0.000 0.000
Pr1 0.000 0.000 0.500
Pr2 0.165 0.500 0.833
Pr3 0.171 0.500 0.332
Sb1 0.000 0.500 0.000
Sb2 0.164 0.000 0.330
Sb3 0.165 0.000 0.836
```



No. 6
Rb3Pt2Br9 | PBE | optimized geometry

Output
For the total energy, the calculation gives -3.01 eV/atom. The calculation puts the density at 4.90 g/cm3. The value obtained for the uncorrected formation energy is -864 meV/atom.

Cell and atoms, written as CIF:
```
data_Rb3Pt2Br9
_space_group_name_H-M_alt 'P 63/m m c'
_space_group_IT_number 194
_space_group_name_Hall '-P 6c 2c'
_cell_length_a 7.4258
_cell_length_b 7.4258
_cell_length_c 19.3858
_cell_angle_alpha 90.00
_cell_angle_beta 90.00
_cell_angle_gamma 120.00
loop_
_atom_site_label
_atom_site_fract_x
_atom_site_fract_y
_atom_site_fract_z
Rb1 0.0000 0.0000 0.2500
Rb2 0.3333 0.6667 0.0617
Pt1 0.3333 0.6667 0.6646
Br1 0.0135 0.5067 0.7500
Br2 0.1699 0.3397 0.5909
```



No. 7
KTlCd2Se | PBE | optimized geometry

Output
For the total energy, the calculation gives -1.57 eV/atom. The calculation puts the density at 4.81 g/cm3. The value obtained for the uncorrected formation energy is 181 meV/atom. As for the energy above the most stable polymorph in this dataset: 0.0 meV per atom.

Cell and atoms, written as CIF:
```
data_KTlCd2Se
_space_group_name_H-M_alt 'P 4/m m m'
_space_group_IT_number 123
_space_group_name_Hall '-P 4 2'
_cell_length_a 5.433
_cell_length_b 5.433
_cell_length_c 6.402
_cell_angle_alpha 90.00
_cell_angle_beta 90.00
_cell_angle_gamma 90.00
loop_
_atom_site_label
_atom_site_fract_x
_atom_site_fract_y
_atom_site_fract_z
K1 0.000 0.000 0.000
Tl1 0.000 0.000 0.500
Cd1 0.000 0.500 0.500
Se1 0.500 0.500 0.000
```



No. 8
Ca8Tl3 | PBE | optimized geometry

Output
For the energy of formation from the pure elements, the calculation gives -136 meV/atom. For the total energy, the calculation gives -2.24 eV/atom. The calculation puts the density at 3.65 g/cm3.

Cell and atoms, written as CIF:
```
data_Ca8Tl3
_space_group_name_H-M_alt 'R -3'
_space_group_IT_number 148
_space_group_name_Hall '-R 3'
_cell_length_a 10.4150
_cell_length_b 10.4150
_cell_length_c 13.5792
_cell_angle_alpha 90.00
_cell_angle_beta 90.00
_cell_angle_gamma 120.00
loop_
_atom_site_label
_atom_site_fract_x
_atom_site_fract_y
_atom_site_fract_z
Ca1 0.0000 0.0000 0.1395
Ca2 0.0519 0.2577 0.6137
Tl1 0.0000 0.5000 0.5000
```



No. 9
LaCu2Ag2 | PBE | optimized geometry

Output
For the energy of formation from the pure elements, the calculation gives -138 meV/atom. For the total energy, the calculation gives -3.90 eV/atom. The calculation puts the density at 8.04 g/cm3. As for the energy above the most stable polymorph in this dataset: 0.0 meV per atom.

Cell and atoms, written as CIF:
```
data_LaCu2Ag2
_space_group_name_H-M_alt 'I 4/m m m'
_space_group_IT_number 139
_space_group_name_Hall '-I 4 2'
_cell_length_a 4.138
_cell_length_b 4.138
_cell_length_c 11.618
_cell_angle_alpha 90.00
_cell_angle_beta 90.00
_cell_angle_gamma 90.00
loop_
_atom_site_label
_atom_site_fract_x
_atom_site_fract_y
_atom_site_fract_z
La1 0.000 0.000 0.000
Cu1 0.000 0.000 0.396
Ag1 0.000 0.500 0.250
```



No. 10
Tc3Ge6Ru | PBE | optimized geometry

Output
For the energy of formation from the pure elements, the calculation gives 2 meV/atom. For the total energy, the calculation gives -6.81 eV/atom. The calculation puts the density at 8.30 g/cm3.

Cell and atoms, written as CIF:
```
data_Tc3Ge6Ru
_space_group_name_H-M_alt 'P 1 21/c 1'
_space_group_IT_number 14
_cell_length_a 6.164
_cell_length_b 6.560
_cell_length_c 8.785
_cell_angle_alpha 90.00
_cell_angle_beta 110.58
_cell_angle_gamma 90.00
loop_
_space_group_symop_operation_xyz
'x,y,z'
'-x,-y,-z'
'-x,y+1/2,-z+1/2'
'x,-y+1/2,z+1/2'
loop_
_atom_site_label
_atom_site_fract_x
_atom_site_fract_y
_atom_site_fract_z
Tc1 0.000 0.000 0.000
Tc2 0.288 0.138 0.764
Ge1 0.096 0.027 0.300
Ge2 0.257 0.701 0.112
Ge3 0.415 0.139 0.075
Ru1 0.500 0.000 0.500
```



No. 11
Tb4PmSc4 | PBE | optimized geometry

Output
For the energy of formation from the pure elements, the calculation gives 54 meV/atom. For the total energy, the calculation gives -5.35 eV/atom. The calculation puts the density at 6.16 g/cm3.

Cell and atoms, written as CIF:
```
data_Tb4PmSc4
_space_group_name_H-M_alt 'I 4/m m m'
_space_group_IT_number 139
_space_group_name_Hall '-I 4 2'
_cell_length_a 10.311
_cell_length_b 10.311
_cell_length_c 4.869
_cell_angle_alpha 90.00
_cell_angle_beta 90.00
_cell_angle_gamma 90.00
loop_
_atom_site_label
_atom_site_fract_x
_atom_site_fract_y
_atom_site_fract_z
Tb1 0.169 0.169 0.000
Pm1 0.000 0.000 0.500
Sc1 0.000 0.342 0.500
```



No. 12
Ge2RhW | PBE | optimized geometry

Output
For the energy of formation from the pure elements, the calculation gives 40 meV/atom. For the total energy, the calculation gives -7.35 eV/atom. The calculation puts the density at 12.01 g/cm3. As for the energy above the most stable polymorph in this dataset: 0.0 meV per atom.

Cell and atoms, written as CIF:
```
data_Ge2RhW
_space_group_name_H-M_alt 'F m -3 m'
_space_group_IT_number 225
_space_group_name_Hall '-F 4 2 3'
_cell_length_a 6.206
_cell_length_b 6.206
_cell_length_c 6.206
_cell_angle_alpha 90.00
_cell_angle_beta 90.00
_cell_angle_gamma 90.00
loop_
_atom_site_label
_atom_site_fract_x
_atom_site_fract_y
_atom_site_fract_z
Ge1 0.250 0.250 0.250
Rh1 0.000 0.000 0.000
W1 0.000 0.000 0.500
```